(1)
First-principles (PBE-GGA) data for a relaxed Er6Tl2N crystal, as listed in the Alexandria database.

space-group type = Amm2
E = -44.143 eV per cell
energy above the lowest structure with this stoichiometry = 155.4 meV per atom
size of the total moment = 0.000 μB/atom

a = 3.5027 Å, b = 9.0090 Å, c = 8.7094 Å
α = 121.14°, β = 90.00°, γ = 90.00°
Last column: nearest neighbours and their distance in Å.
Atoms (fractional coordinates):
Tl: 0.0000 0.6888 0.3424  8 Er 3.18-3.49, 2 Tl 3.50
Tl: 0.0000 0.3464 0.6576  8 Er 3.18-3.49, 2 Tl 3.50
Er: 0.0000 0.7931 0.7884  2 N 2.40
Er: 0.5000 0.0225 0.5936  4 Tl 3.18-3.20, 4 Er 3.50-3.51
Er: 0.5000 0.6034 0.0000  1 N 2.22
Er: 0.0000 0.2617 0.0000  2 Tl 3.44, 10 Er 3.50-3.63
Er: 0.5000 0.4289 0.4064  4 Tl 3.18-3.20, 4 Er 3.50-3.51
N: 0.5000 0.8504 0.0000  5 Er 2.22-2.40
Er: 0.0000 0.0047 0.2116  2 N 2.40

---

(2)
First-principles (PBE-GGA) data for a relaxed SiHgMo crystal, as listed in the Alexandria database.

space-group type = P1
E = -32.856 eV per cell
energy above the lowest structure with this stoichiometry = 20.8 meV per atom
size of the total moment = 0.000 μB/atom

a = 3.1630 Å, b = 3.2215 Å, c = 11.4782 Å
α = 94.77°, β = 94.53°, γ = 90.06°
Last column: nearest neighbours and their distance in Å.
Atoms (fractional coordinates):
Si: 0.6232 0.9993 0.1995  5 Mo 2.53-2.78
Mo: 0.6911 0.0694 0.4436  5 Si 2.56-2.78, 4 Mo 2.79-2.80
Hg: 0.0777 0.4387 0.0143  3 Hg 2.86-3.16, 4 Si 3.07-3.11
Mo: 0.1512 0.5287 0.2994  4 Si 2.53, 4 Mo 2.79-2.80
Hg: 0.2158 0.5927 0.7780  1 Si 2.61, 1 Hg 2.86
Si: 0.2231 0.6028 0.5512  4 Mo 2.56-2.57, 1 Hg 2.61

---

(3)
First-principles (PBE-GGA) data for a relaxed Tl3Sn2Hg7 crystal, as listed in the Alexandria database.

space-group type = P2/m
E = -16.933 eV per cell
size of the total moment = 0.000 μB/atom

a = 3.2734 Å, b = 5.9829 Å, c = 17.8020 Å
α = 102.77°, β = 90.00°, γ = 90.00°
Last column: nearest neighbours and their distance in Å.
Atoms (fractional coordinates):
Sn: 0.5000 0.6029 0.3097  2 Hg 3.00-3.08, 2 Sn 3.27
Tl: 0.0000 0.8678 0.6535  2 Tl 3.27, 3 Hg 3.39-3.46, 4 Sn 3.44-3.50
Hg: 0.5000 0.7386 0.4825  1 Sn 3.00, 4 Hg 3.05-3.27
Hg: 0.0000 0.0000 0.0000  8 Hg 3.27-3.49, 4 Tl 3.41
Hg: 0.5000 0.7563 0.8434  1 Sn 3.08, 6 Hg 3.27-3.28
Tl: 0.0000 0.1322 0.3465  2 Tl 3.27, 3 Hg 3.39-3.46, 4 Sn 3.44-3.50
Hg: 0.0000 0.7744 0.1646  7 Hg 3.27-3.55, 2 Sn 3.40, 3 Tl 3.44-3.46
Hg: 0.5000 0.2614 0.5175  1 Sn 3.00, 4 Hg 3.05-3.27
Tl: 0.5000 0.5000 0.0000  2 Tl 3.27, 10 Hg 3.41-3.47
Hg: 0.0000 0.2256 0.8354  7 Hg 3.27-3.55, 2 Sn 3.40, 3 Tl 3.44-3.46
Hg: 0.5000 0.2437 0.1566  1 Sn 3.08, 6 Hg 3.27-3.28
Sn: 0.5000 0.3971 0.6903  2 Hg 3.00-3.08, 2 Sn 3.27

---

(4)
First-principles (PBE-GGA) data for a relaxed TmAlC crystal, as listed in the Alexandria database.

space-group type = P3m1
E = -18.314 eV per cell
energy above the lowest structure with this stoichiometry = 0.0 meV per atom
size of the total moment = 0.000 μB/atom

a = 4.9417 Å, b = 3.3893 Å, c = 3.3893 Å
α = 120.00°, β = 90.00°, γ = 90.00°
Last column: nearest neighbours and their distance in Å.
Atoms (fractional coordinates):
Al: 0.5517 0.6667 0.3333  3 C 2.17
Tm: 0.0877 0.0000 0.0000  3 C 2.38
C: 0.3606 0.3333 0.6667  3 Al 2.17, 3 Tm 2.38

---

(5)
First-principles (PBE-GGA) data for a relaxed Si2N2F crystal, as listed in the Alexandria database.

space-group type = P4/mbm
E = -57.511 eV per cell
energy above the lowest structure with this stoichiometry = 462.3 meV per atom
size of the total moment = 0.000 μB/atom

a = 6.9609 Å, b = 6.9609 Å, c = 2.8823 Å
α = 90.00°, β = 90.00°, γ = 90.00°
Last column: nearest neighbours and their distance in Å.
Atoms (fractional coordinates):
F: 0.5000 0.5000 0.0000  4 N 2.72, 8 Si 2.87, 2 F 2.88
Si: 0.2851 0.7851 0.5000  2 N 1.66
Si: 0.2149 0.2851 0.5000  2 N 1.66
F: 0.0000 0.0000 0.0000  4 N 2.72, 8 Si 2.87, 2 F 2.88
N: 0.1318 0.3682 0.0000  2 Si 1.66
N: 0.8682 0.6318 0.0000  2 Si 1.66
N: 0.6318 0.1318 0.0000  2 Si 1.66
N: 0.3682 0.8682 0.0000  2 Si 1.66
Si: 0.7149 0.2149 0.5000  2 N 1.66
Si: 0.7851 0.7149 0.5000  2 N 1.66

---

(6)
First-principles (PBE-GGA) data for a relaxed CoAgHg2 crystal, as listed in the Alexandria database.

space-group type = Fm-3m
E = -8.973 eV per cell
energy above the lowest structure with this stoichiometry = 70.9 meV per atom
size of the total moment = 0.314 μB/atom

a = 4.6698 Å, b = 4.6698 Å, c = 4.6698 Å
α = 60.00°, β = 60.00°, γ = 60.00°
Last column: nearest neighbours and their distance in Å.
Atoms (fractional coordinates):
Hg: 0.2500 0.2500 0.2500  4 Ag 2.86, 4 Co 2.86
Co: 0.0000 0.0000 0.0000  8 Hg 2.86
Ag: 0.5000 0.5000 0.5000  8 Hg 2.86
Hg: 0.7500 0.7500 0.7500  4 Ag 2.86, 4 Co 2.86

---

(7)
First-principles (PBE-GGA) data for a relaxed GaCu2Hg2 crystal, as listed in the Alexandria database.

space-group type = I4/mmm
E = -10.883 eV per cell
energy above the lowest structure with this stoichiometry = 38.3 meV per atom
size of the total moment = 0.000 μB/atom

a = 3.4421 Å, b = 3.4421 Å, c = 8.5265 Å
α = 78.36°, β = 78.36°, γ = 90.00°
Last column: nearest neighbours and their distance in Å.
Atoms (fractional coordinates):
Cu: 0.2500 0.7500 0.5000  4 Cu 2.43
Ga: 0.0000 0.0000 0.0000  8 Hg 3.08, 4 Ga 3.44
Cu: 0.7500 0.2500 0.5000  4 Cu 2.43
Hg: 0.6152 0.6152 0.7697  4 Cu 2.80, 4 Ga 3.08
Hg: 0.3848 0.3848 0.2303  4 Cu 2.80, 4 Ga 3.08

---

(8)
First-principles (PBE-GGA) data for a relaxed Ac4InCu crystal, as listed in the Alexandria database.

space-group type = P2/m
E = -23.204 eV per cell
energy above the lowest structure with this stoichiometry = 145.9 meV per atom
size of the total moment = 0.000 μB/atom

a = 5.4459 Å, b = 5.4471 Å, c = 7.8951 Å
α = 89.93°, β = 89.98°, γ = 90.00°
Last column: nearest neighbours and their distance in Å.
Atoms (fractional coordinates):
Ac: 0.0015 0.4975 0.7310  2 Cu 3.28-3.29, 2 In 3.44
Cu: 0.0014 0.9972 0.4984  8 Ac 3.28-3.29
In: 0.5013 0.4973 0.9981  8 Ac 3.44
Ac: 0.5014 0.9978 0.7311  2 Cu 3.28-3.29, 2 In 3.44
Ac: 0.5012 0.9968 0.2651  2 Cu 3.29, 2 In 3.44, 1 Ac 3.68
Ac: 0.0011 0.4971 0.2652  2 Cu 3.29, 2 In 3.44, 1 Ac 3.68